Material: Al2Pd4Pt
Method: DFT, PBE-GGA
State: optimized geometry

Properties
* size of the total moment: 0.0 μB per formula unit
* distance to the lowest polymorph of the same formula: 0.0 kJ per mole of atoms
* DFT formation energy: -0.5688 eV per atom
* N(E_F): 3.1 states/eV/f.u.
* E_tot: -5.47 eV per atom

abc: 4.9314 10.2003 4.3237
angles: 90.00 90.00 90.00
Element x y z (fractional)
Al 0.2423 0.0861 0.0000
Al 0.2577 0.5861 0.0000
Al 0.7423 0.4139 0.0000
Al 0.7577 0.9139 0.0000
Pd 0.0676 0.1875 0.5000
Pd 0.2320 0.3435 0.0000
Pd 0.2680 0.8435 0.0000
Pd 0.4324 0.6875 0.5000
Pd 0.5676 0.3125 0.5000
Pd 0.7320 0.1565 0.0000
Pd 0.7680 0.6565 0.0000
Pd 0.9324 0.8125 0.5000
Pt 0.0000 0.5000 0.5000
Pt 0.5000 0.0000 0.5000

Material: AlPdPt4
Method: DFT, PBE-GGA
State: optimized geometry

Properties
* size of the total moment: 0.0 μB per formula unit
* distance to the lowest polymorph of the same formula: 0.6 kJ per mole of atoms
* DFT formation energy: -0.3831 eV per atom
* N(E_F): 4.8 states/eV/f.u.
* E_tot: -5.90 eV per atom

abc: 4.6758 4.6758 8.7074
angles: 118.85 118.85 34.91
Element x y z (fractional)
Al 0.0000 0.0000 0.0000
Pd 0.5000 0.5000 0.5000
Pt 0.1438 0.1438 0.3345
Pt 0.2232 0.2232 0.8488
Pt 0.7768 0.7768 0.1512
Pt 0.8562 0.8562 0.6655

Material: Al2Pd5Pt12
Method: DFT, PBE-GGA
State: optimized geometry

Properties
* size of the total moment: 0.0 μB per formula unit
* DFT formation energy: -0.2227 eV per atom
* N(E_F): 25.6 states/eV/f.u.
* E_tot: -5.80 eV per atom

abc: 7.3682 7.3682 5.9472
angles: 90.57 90.57 68.56
Element x y z (fractional)
Al 0.2434 0.7566 0.0000
Al 0.7566 0.2434 0.0000
Pd 0.1666 0.1666 0.9060
Pd 0.2642 0.2642 0.4830
Pd 0.5000 0.5000 0.5000
Pd 0.7358 0.7358 0.5170
Pd 0.8334 0.8334 0.0940
Pt 0.0485 0.0485 0.2882
Pt 0.0646 0.5554 0.8048
Pt 0.1336 0.6628 0.3834
Pt 0.3372 0.8664 0.6166
Pt 0.3854 0.3854 0.0818
Pt 0.4446 0.9354 0.1952
Pt 0.5554 0.0646 0.8048
Pt 0.6146 0.6146 0.9182
Pt 0.6628 0.1336 0.3834
Pt 0.8664 0.3372 0.6166
Pt 0.9354 0.4446 0.1952
Pt 0.9515 0.9515 0.7118

Material: AlPdPt4
Method: DFT, PBE-GGA
State: optimized geometry

Properties
* size of the total moment: 0.0 μB per formula unit
* distance to the lowest polymorph of the same formula: 0.0 kJ per mole of atoms
* DFT formation energy: -0.3897 eV per atom
* N(E_F): 5.7 states/eV/f.u.
* E_tot: -5.91 eV per atom

abc: 5.4280 7.7594 4.9550
angles: 90.00 116.99 90.00
Element x y z (fractional)
Al 0.0000 0.0000 0.0000
Al 0.0000 0.5000 0.5000
Pd 0.5000 0.0000 0.5000
Pd 0.5000 0.5000 0.0000
Pt 0.1086 0.1668 0.6181
Pt 0.1086 0.3332 0.1181
Pt 0.3681 0.6582 0.4236
Pt 0.3681 0.8418 0.9236
Pt 0.6319 0.1582 0.0764
Pt 0.6319 0.3418 0.5764
Pt 0.8914 0.6668 0.8819
Pt 0.8914 0.8332 0.3819

Question: Among the records above, which one has the lowest E_tot?
Answer: number 4

Repeat the fourth record exactly.
Material: AlPdPt4
Method: DFT, PBE-GGA
State: optimized geometry

Properties
* size of the total moment: 0.0 μB per formula unit
* distance to the lowest polymorph of the same formula: 0.0 kJ per mole of atoms
* DFT formation energy: -0.3897 eV per atom
* N(E_F): 5.7 states/eV/f.u.
* E_tot: -5.91 eV per atom

abc: 5.4280 7.7594 4.9550
angles: 90.00 116.99 90.00
Element x y z (fractional)
Al 0.0000 0.0000 0.0000
Al 0.0000 0.5000 0.5000
Pd 0.5000 0.0000 0.5000
Pd 0.5000 0.5000 0.0000
Pt 0.1086 0.1668 0.6181
Pt 0.1086 0.3332 0.1181
Pt 0.3681 0.6582 0.4236
Pt 0.3681 0.8418 0.9236
Pt 0.6319 0.1582 0.0764
Pt 0.6319 0.3418 0.5764
Pt 0.8914 0.6668 0.8819
Pt 0.8914 0.8332 0.3819

Question: What is the N(E_F) in the second record?
Answer: 4.8 states/eV/f.u.

Question: Look up the DFT formation energy of the third one.
Answer: -0.2227 eV per atom